<1>
3
Lattice="2.7445 0.0000 0.0000 -1.3723 2.3768 0.0000 0.0000 0.0000 6.7322" Properties=species:S:1:pos:R:3 comment="TcPdRu PBE-GGA optimized geometry" magmom_total_mub_per_fu=0.00 sg=P3m1 pbc="T T T"
Tc 0.0000 0.0000 0.0000
Pd 0.0000 1.5846 4.4060
Ru 1.3723 0.7923 2.0577

---

<2>
6
Lattice="3.2454 0.0000 0.0000 0.0000 3.2454 0.0000 0.0000 0.0000 8.4798" Properties=species:S:1:pos:R:3 comment="TcPdRu PBE-GGA optimized geometry" magmom_total_mub_per_fu=0.16 sg=P4/nmm pbc="T T T"
Tc 0.8114 0.8114 1.9784
Tc 2.4341 2.4341 6.5013
Pd 0.8114 0.8114 4.9935
Pd 2.4341 2.4341 3.4863
Ru 0.8114 0.8114 7.7606
Ru 2.4341 2.4341 0.7191

---

<3>
3
Lattice="-1.3792 1.3792 5.7834 1.3792 -1.3792 5.7834 1.3792 1.3792 -5.7834" Properties=species:S:1:pos:R:3 comment="TcPdRu PBE-GGA optimized geometry" magmom_total_mub_per_fu=0.00 sg=I4mm pbc="T T T"
Tc 0.0000 0.0000 0.0000
Pd 0.0000 0.0000 3.7627
Ru 0.0000 0.0000 7.4872

---

Pick <1>: it beats the second-best structure by 12 meV/atom.

---

<1>
5
Lattice="5.1664 0.0000 0.0000 0.0000 5.1664 0.0000 0.0000 0.0000 5.1664" Properties=species:S:1:pos:R:3 comment="Te3PdRu PBE-GGA optimized geometry" magmom_total_mub_per_fu=0.00 sg=Pm-3m pbc="T T T"
Te 0.0000 0.0000 2.5832
Te 0.0000 2.5832 0.0000
Te 2.5832 0.0000 0.0000
Pd 0.0000 0.0000 0.0000
Ru 2.5832 2.5832 2.5832

---

<2>
5
Lattice="5.1599 0.0000 0.0000 0.0000 5.1599 0.0000 0.0000 0.0000 5.1599" Properties=species:S:1:pos:R:3 comment="Te3PdRu PBE-GGA optimized geometry" magmom_total_mub_per_fu=0.00 sg=Pm-3m pbc="T T T"
Te 0.0000 0.0000 2.5800
Te 0.0000 2.5800 0.0000
Te 2.5800 0.0000 0.0000
Pd 2.5800 2.5800 2.5800
Ru 0.0000 0.0000 0.0000

---

Pick <2>: it beats the second-best structure by 357 meV/atom.